Material: NaErCrO4
Method: DFT, PBE with a Hubbard U
State: optimized geometry

Cell lengths 5.7432, 5.9085, 6.8086 Å; angles 90.00, 112.31, 90.00 degrees
Closest atoms and distances in Å follow each position.
Space group P2_1/m (No. 11)
Symmetry-distinct sites (fractional):
Na (0.1510, 0.2500, 0.4372)  2 O 2.26-2.28
Er (0.3156, 0.2500, 0.9691)  6 O 2.21-2.34
Cr (0.2450, 0.7500, 0.1843)  4 O 1.77-1.84
O (0.0170, 0.7500, 0.9213)  1 Cr 1.77
O (0.0458, 0.7500, 0.3288)  1 Cr 1.77
O (0.4765, 0.5284, 0.1984)  1 Cr 1.84

Electronic total energy: -97.85 eV per cell